Entry 1:
First-principles (PBE-GGA) data for a relaxed Sc10Ge3Bi3 crystal, as listed in Alexandria.

Results
VASP energy	-6.2338	eV/atom
ΔH_f (0 K)	-10.931	eV/f.u.

a = 8.3096 Å, b = 8.3096 Å, c = 5.9906 Å
α = 90.00°, β = 90.00°, γ = 120.00°
Space group P-62m (No. 189)
Unique sites:
Sc 0.0000 0.2417 0.0000
Sc 0.0000 0.7633 0.5000
Sc 0.3333 0.6667 0.2349
Ge 0.0000 0.6136 0.0000
Bi 0.0000 0.3973 0.5000

=====

Entry 2:
First-principles (PBE-GGA) data for a relaxed SmDyTe3 crystal, as listed in Alexandria.

Results
raw formation energy	-1.37	eV/atom
VASP energy	-5.1184	eV/atom

a = 7.7698 Å, b = 7.7698 Å, c = 21.2809 Å
α = 90.00°, β = 90.00°, γ = 120.00°
Space group R-3 (No. 148, hexagonal axes)
Unique sites:
Sm 0.0000 0.0000 0.1554
Dy 0.0000 0.0000 0.3427
Te 0.0050 0.6902 0.2511

=====

Question: Which of these has the highest VASP energy?
Answer: SmDyTe3

=====

What did the first record say?
First-principles (PBE-GGA) data for a relaxed Sc10Ge3Bi3 crystal, as listed in Alexandria.

Results
VASP energy	-6.2338	eV/atom
ΔH_f (0 K)	-10.931	eV/f.u.

a = 8.3096 Å, b = 8.3096 Å, c = 5.9906 Å
α = 90.00°, β = 90.00°, γ = 120.00°
Space group P-62m (No. 189)
Unique sites:
Sc 0.0000 0.2417 0.0000
Sc 0.0000 0.7633 0.5000
Sc 0.3333 0.6667 0.2349
Ge 0.0000 0.6136 0.0000
Bi 0.0000 0.3973 0.5000

=====

Question: Which value of VASP energy does entry 1 give?
Answer: -6.2338 eV/atom